Entry 1:
Material: LaPuCoCu
Method: DFT, PBE
State: relaxed

Properties
Formation energy in eV per atom: 0.0599
Final energy in eV for the cell shown: -120.89
M_tot in μB/f.u.: 5.3
ρ in g cm⁻³: 9.898

a b c (Å): 6.9737 6.9737 6.9737
angles (deg): 90.00 90.00 90.00
Last column: nearest neighbours and their distance in Å.
Atoms (fractional coordinates):
La 0.0000 0.0000 0.0000  4 Cu 3.02, 4 Co 3.02
La 0.0000 0.5000 0.5000  4 Co 3.02, 4 Cu 3.02
La 0.5000 0.0000 0.5000  4 Co 3.02, 4 Cu 3.02
La 0.5000 0.5000 0.0000  4 Co 3.02, 4 Cu 3.02
Pu 0.0000 0.0000 0.5000  4 Co 3.02, 4 Cu 3.02
Pu 0.0000 0.5000 0.0000  4 Co 3.02, 4 Cu 3.02
Pu 0.5000 0.0000 0.0000  4 Co 3.02, 4 Cu 3.02
Pu 0.5000 0.5000 0.5000  4 Co 3.02, 4 Cu 3.02
Co 0.2500 0.2500 0.2500  4 La 3.02, 4 Pu 3.02
Co 0.2500 0.7500 0.7500  4 La 3.02, 4 Pu 3.02
Co 0.7500 0.2500 0.7500  4 La 3.02, 4 Pu 3.02
Co 0.7500 0.7500 0.2500  4 La 3.02, 4 Pu 3.02
Cu 0.2500 0.2500 0.7500  4 Pu 3.02, 4 La 3.02
Cu 0.2500 0.7500 0.2500  4 Pu 3.02, 4 La 3.02
Cu 0.7500 0.2500 0.2500  4 Pu 3.02, 4 La 3.02
Cu 0.7500 0.7500 0.7500  4 Pu 3.02, 4 La 3.02


Entry 2:
Material: Be2Zn2Ge
Method: DFT, PBE
State: relaxed

Properties
Formation energy in eV per atom: 0.3698
Final energy in eV for the cell shown: -25.54
M_tot in μB/f.u.: 0.0
ρ in g cm⁻³: 5.283

a b c (Å): 3.5027 3.5027 11.3485
angles (deg): 90.00 90.00 90.00
Last column: nearest neighbours and their distance in Å.
Atoms (fractional coordinates):
Be 0.0000 0.5000 0.2500  4 Zn 2.36, 4 Be 2.48
Be 0.0000 0.5000 0.7500  4 Zn 2.36, 4 Be 2.48
Be 0.5000 0.0000 0.2500  4 Zn 2.36, 4 Be 2.48
Be 0.5000 0.0000 0.7500  4 Zn 2.36, 4 Be 2.48
Zn 0.0000 0.0000 0.1106  4 Be 2.36, 1 Zn 2.51
Zn 0.0000 0.0000 0.8894  4 Be 2.36, 1 Zn 2.51
Zn 0.5000 0.5000 0.3894  4 Be 2.36, 1 Zn 2.51
Zn 0.5000 0.5000 0.6106  4 Be 2.36, 1 Zn 2.51
Ge 0.0000 0.0000 0.5000  8 Zn 2.78
Ge 0.5000 0.5000 0.0000  8 Zn 2.78


Entry 3:
Material: CaH3N
Method: DFT, PBE
State: relaxed

Properties
Final energy in eV for the cell shown: -62.96
M_tot in μB/f.u.: 0.1
ρ in g cm⁻³: 1.185

a b c (Å): 3.8795 3.8795 18.4207
angles (deg): 90.00 90.00 120.00
Last column: nearest neighbours and their distance in Å.
Atoms (fractional coordinates):
Ca 0.0000 0.0000 0.0000  6 H 3.25-3.30, 4 N 3.42-3.56
Ca 0.3333 0.6667 0.6667  6 H 3.25-3.30, 4 N 3.42-3.56
Ca 0.6667 0.3333 0.3333  6 H 3.25-3.30, 4 N 3.42-3.56
H 0.1943 0.3886 0.8356  1 N 1.04
H 0.1943 0.8057 0.8356  1 N 1.04
H 0.2781 0.1390 0.1690  1 N 1.04
H 0.5276 0.0553 0.5023  1 N 1.04
H 0.5276 0.4724 0.5023  1 N 1.04
H 0.6114 0.8057 0.8356  1 N 1.04
H 0.8610 0.1390 0.1690  1 N 1.04
H 0.8610 0.7219 0.1690  1 N 1.04
H 0.9447 0.4724 0.5023  1 N 1.04
N 0.0000 0.0000 0.1933  3 H 1.04
N 0.3333 0.6667 0.8600  3 H 1.04
N 0.6667 0.3333 0.5267  3 H 1.04


Entry 4:
Material: HfTe2Cl
Method: DFT, PBE
State: relaxed

Properties
Final energy in eV for the cell shown: -76.00
M_tot in μB/f.u.: 0.0
ρ in g cm⁻³: 4.992
Formation energy without anion corrections in meV per atom: -229

a b c (Å): 7.2080 7.2080 12.0156
angles (deg): 90.00 90.00 90.00
Last column: nearest neighbours and their distance in Å.
Atoms (fractional coordinates):
Hf 0.0000 0.0000 0.0000  4 Te 2.74
Hf 0.0000 0.5000 0.2500  4 Te 2.74
Hf 0.5000 0.0000 0.7500  4 Te 2.74
Hf 0.5000 0.5000 0.5000  4 Te 2.74
Te 0.1960 0.2500 0.1250  2 Hf 2.74
Te 0.2500 0.6960 0.3750  2 Hf 2.74
Te 0.2500 0.8040 0.8750  2 Hf 2.74
Te 0.3040 0.2500 0.6250  2 Hf 2.74
Te 0.6960 0.7500 0.6250  2 Hf 2.74
Te 0.7500 0.1960 0.8750  2 Hf 2.74
Te 0.7500 0.3040 0.3750  2 Hf 2.74
Te 0.8040 0.7500 0.1250  2 Hf 2.74
Cl 0.0000 0.0000 0.5000  4 Te 3.21
Cl 0.0000 0.5000 0.7500  4 Te 3.21
Cl 0.5000 0.0000 0.2500  4 Te 3.21
Cl 0.5000 0.5000 0.0000  4 Te 3.21


Entry 5:
Material: Pm3Si3Ni
Method: DFT, PBE
State: relaxed

Properties
Final energy in eV for the cell shown: -83.07
M_tot in μB/f.u.: 0.2
ρ in g cm⁻³: 6.263
Formation energy without anion corrections in meV per atom: -747

a b c (Å): 4.0087 4.2734 17.8888
angles (deg): 90.00 90.00 90.00
Last column: nearest neighbours and their distance in Å.
Atoms (fractional coordinates):
Pm 0.0000 0.0000 0.0000  2 Ni 2.95, 5 Si 3.04-3.19
Pm 0.0000 0.0000 0.3652  7 Si 3.03-3.23
Pm 0.0000 0.5000 0.6806  8 Si 3.11-3.30, 4 Ni 3.17
Pm 0.5000 0.0000 0.1806  8 Si 3.11-3.30, 4 Ni 3.17
Pm 0.5000 0.5000 0.5000  2 Ni 2.95, 5 Si 3.04-3.19
Pm 0.5000 0.5000 0.8652  7 Si 3.03-3.23
Si 0.0000 0.0000 0.5460  2 Ni 2.34
Si 0.0000 0.0000 0.8215  2 Si 2.49
Si 0.0000 0.5000 0.2392  1 Ni 2.25, 2 Si 2.49
Si 0.5000 0.0000 0.7392  1 Ni 2.25, 2 Si 2.49
Si 0.5000 0.5000 0.0460  2 Ni 2.34
Si 0.5000 0.5000 0.3215  2 Si 2.49
Ni 0.0000 0.5000 0.1134  3 Si 2.25-2.34
Ni 0.5000 0.0000 0.6134  3 Si 2.25-2.34


Entry 6:
Material: Cd2AgAu
Method: DFT, PBE
State: relaxed

Properties
Formation energy in eV per atom: -0.1290
Final energy in eV for the cell shown: -16.95
M_tot in μB/f.u.: 0.0
ρ in g cm⁻³: 11.372

a b c (Å): 4.5423 4.5423 7.4967
angles (deg): 90.00 90.00 90.00
Last column: nearest neighbours and their distance in Å.
Atoms (fractional coordinates):
Cd 0.0000 0.5000 0.2500  4 Ag 2.94, 4 Au 2.94, 4 Cd 3.21
Cd 0.0000 0.5000 0.7500  4 Au 2.94, 4 Ag 2.94, 4 Cd 3.21
Cd 0.5000 0.0000 0.2500  4 Ag 2.94, 4 Au 2.94, 4 Cd 3.21
Cd 0.5000 0.0000 0.7500  4 Au 2.94, 4 Ag 2.94, 4 Cd 3.21
Ag 0.0000 0.0000 0.0000  8 Cd 2.94, 4 Au 3.21
Ag 0.5000 0.5000 0.5000  8 Cd 2.94, 4 Au 3.21
Au 0.0000 0.0000 0.5000  8 Cd 2.94, 4 Ag 3.21
Au 0.5000 0.5000 0.0000  8 Cd 2.94, 4 Ag 3.21


Entry 7:
Material: MgPaMnOs
Method: DFT, PBE
State: relaxed

Properties
Formation energy in eV per atom: -0.0041
Final energy in eV for the cell shown: -126.03
M_tot in μB/f.u.: 2.3
ρ in g cm⁻³: 11.653

a b c (Å): 6.5830 6.5830 6.5830
angles (deg): 90.00 90.00 90.00
Last column: nearest neighbours and their distance in Å.
Atoms (fractional coordinates):
Mg 0.0000 0.0000 0.0000  4 Mn 2.85, 4 Os 2.85
Mg 0.0000 0.5000 0.5000  4 Mn 2.85, 4 Os 2.85
Mg 0.5000 0.0000 0.5000  4 Mn 2.85, 4 Os 2.85
Mg 0.5000 0.5000 0.0000  4 Mn 2.85, 4 Os 2.85
Pa 0.0000 0.0000 0.5000  4 Mn 2.85, 4 Os 2.85
Pa 0.0000 0.5000 0.0000  4 Mn 2.85, 4 Os 2.85
Pa 0.5000 0.0000 0.0000  4 Mn 2.85, 4 Os 2.85
Pa 0.5000 0.5000 0.5000  4 Os 2.85, 4 Mn 2.85
Mn 0.2500 0.2500 0.7500  4 Pa 2.85, 4 Mg 2.85
Mn 0.2500 0.7500 0.2500  4 Pa 2.85, 4 Mg 2.85
Mn 0.7500 0.2500 0.2500  4 Pa 2.85, 4 Mg 2.85
Mn 0.7500 0.7500 0.7500  4 Pa 2.85, 4 Mg 2.85
Os 0.2500 0.2500 0.2500  4 Pa 2.85, 4 Mg 2.85
Os 0.2500 0.7500 0.7500  4 Pa 2.85, 4 Mg 2.85
Os 0.7500 0.2500 0.7500  4 Pa 2.85, 4 Mg 2.85
Os 0.7500 0.7500 0.2500  4 Pa 2.85, 4 Mg 2.85


Entry 8:
Material: NaSr2LiRh
Method: DFT, PBE
State: relaxed

Properties
Formation energy in eV per atom: 0.0663
Final energy in eV for the cell shown: -13.62
M_tot in μB/f.u.: 0.0
ρ in g cm⁻³: 2.755

a b c (Å): 5.7497 5.7497 5.6170
angles (deg): 90.00 90.00 90.00
Last column: nearest neighbours and their distance in Å.
Atoms (fractional coordinates):
Na 0.0000 0.0000 0.0000  2 Rh 2.81
Sr 0.0000 0.5000 0.5000  2 Rh 2.87
Sr 0.5000 0.0000 0.5000  2 Rh 2.87
Li 0.5000 0.5000 0.0000  8 Sr 4.02, 4 Na 4.07
Rh 0.0000 0.0000 0.5000  2 Na 2.81, 4 Sr 2.87


Entry 9:
Material: Sc3Tl
Method: DFT, PBE
State: relaxed

Properties
Formation energy in eV per atom: -0.1408
Final energy in eV for the cell shown: -43.85
M_tot in μB/f.u.: 0.0
ρ in g cm⁻³: 5.917

a b c (Å): 3.3354 10.4080 5.4853
angles (deg): 90.00 90.00 90.00
Last column: nearest neighbours and their distance in Å.
Atoms (fractional coordinates):
Sc 0.0000 0.0000 0.0000  4 Tl 3.08-3.34, 8 Sc 3.15-3.34
Sc 0.0000 0.2355 0.6381  3 Tl 3.10-3.31, 9 Sc 3.15-3.34
Sc 0.0000 0.7645 0.6381  3 Tl 3.10-3.31, 9 Sc 3.15-3.34
Sc 0.5000 0.2645 0.1381  3 Tl 3.10-3.31, 9 Sc 3.15-3.34
Sc 0.5000 0.5000 0.5000  4 Tl 3.08-3.34, 8 Sc 3.15-3.34
Sc 0.5000 0.7355 0.1381  3 Tl 3.10-3.31, 9 Sc 3.15-3.34
Tl 0.0000 0.5000 0.9727  10 Sc 3.08-3.34, 2 Tl 3.34
Tl 0.5000 0.0000 0.4727  10 Sc 3.08-3.34, 2 Tl 3.34


Entry 10:
Material: PmPuPt4
Method: DFT, PBE
State: relaxed

Properties
Formation energy in eV per atom: -0.9477
Final energy in eV for the cell shown: -48.93
M_tot in μB/f.u.: 5.5
ρ in g cm⁻³: 16.673

a b c (Å): 5.4815 5.4815 5.4815
angles (deg): 60.00 60.00 60.00
Last column: nearest neighbours and their distance in Å.
Atoms (fractional coordinates):
Pm 0.0000 0.0000 0.0000  12 Pt 3.21, 4 Pu 3.36
Pu 0.7500 0.7500 0.7500  12 Pt 3.21, 4 Pm 3.36
Pt 0.3753 0.3753 0.3753  6 Pt 2.73-2.75
Pt 0.3753 0.3753 0.8740  6 Pt 2.73-2.75
Pt 0.3753 0.8740 0.3753  6 Pt 2.73-2.75
Pt 0.8740 0.3753 0.3753  6 Pt 2.73-2.75


Entry 11:
Material: Cs2ErAs2O6
Method: DFT, PBE
State: relaxed

Properties
Final energy in eV for the cell shown: -66.40
M_tot in μB/f.u.: 0.8
ρ in g cm⁻³: 5.197
Formation energy without anion corrections in meV per atom: -1916

a b c (Å): 6.0709 6.0709 7.5302
angles (deg): 112.00 112.00 60.12
Last column: nearest neighbours and their distance in Å.
Atoms (fractional coordinates):
Cs 0.2216 0.2216 0.1805  7 O 3.09-3.35
Cs 0.7784 0.7784 0.8195  7 O 3.09-3.35
Er 0.0000 0.0000 0.5000  6 O 2.25-2.26
As 0.4236 0.4236 0.7727  3 O 1.77
As 0.5764 0.5764 0.2273  3 O 1.77
O 0.2378 0.2378 0.6352  1 As 1.77
O 0.2595 0.7260 0.7050  1 As 1.77
O 0.2740 0.7405 0.2950  1 As 1.77
O 0.7260 0.2595 0.7050  1 As 1.77
O 0.7405 0.2740 0.2950  1 As 1.77
O 0.7622 0.7622 0.3648  1 As 1.77


Entry 12:
Material: PrGdHgRh
Method: DFT, PBE
State: relaxed

Properties
Formation energy in eV per atom: -0.5317
Final energy in eV for the cell shown: -114.56
M_tot in μB/f.u.: 7.1
ρ in g cm⁻³: 10.163

a b c (Å): 7.3262 7.3262 7.3262
angles (deg): 90.00 90.00 90.00
Last column: nearest neighbours and their distance in Å.
Atoms (fractional coordinates):
Pr 0.0000 0.0000 0.0000  4 Hg 3.17, 4 Rh 3.17
Pr 0.0000 0.5000 0.5000  4 Hg 3.17, 4 Rh 3.17
Pr 0.5000 0.0000 0.5000  4 Hg 3.17, 4 Rh 3.17
Pr 0.5000 0.5000 0.0000  4 Hg 3.17, 4 Rh 3.17
Gd 0.0000 0.0000 0.5000  4 Hg 3.17, 4 Rh 3.17
Gd 0.0000 0.5000 0.0000  4 Hg 3.17, 4 Rh 3.17
Gd 0.5000 0.0000 0.0000  4 Hg 3.17, 4 Rh 3.17
Gd 0.5000 0.5000 0.5000  4 Hg 3.17, 4 Rh 3.17
Hg 0.2500 0.2500 0.2500  4 Gd 3.17, 4 Pr 3.17
Hg 0.2500 0.7500 0.7500  4 Gd 3.17, 4 Pr 3.17
Hg 0.7500 0.2500 0.7500  4 Gd 3.17, 4 Pr 3.17
Hg 0.7500 0.7500 0.2500  4 Gd 3.17, 4 Pr 3.17
Rh 0.2500 0.2500 0.7500  4 Gd 3.17, 4 Pr 3.17
Rh 0.2500 0.7500 0.2500  4 Gd 3.17, 4 Pr 3.17
Rh 0.7500 0.2500 0.2500  4 Gd 3.17, 4 Pr 3.17
Rh 0.7500 0.7500 0.7500  4 Gd 3.17, 4 Pr 3.17


Entry 13:
Material: Hf2PS
Method: DFT, PBE
State: relaxed

Properties
Final energy in eV for the cell shown: -103.18
M_tot in μB/f.u.: 0.0
ρ in g cm⁻³: 9.657
Formation energy without anion corrections in meV per atom: -1237

a b c (Å): 3.6783 3.6783 18.4917
angles (deg): 90.00 90.00 120.00
Last column: nearest neighbours and their distance in Å.
Atoms (fractional coordinates):
Hf 0.0000 0.0000 0.2393  3 P 2.51, 3 S 2.74
Hf 0.0000 0.0000 0.7607  3 P 2.51, 3 S 2.74
Hf 0.3333 0.6667 0.4273  3 P 2.51, 3 S 2.74
Hf 0.3333 0.6667 0.9060  3 P 2.51, 3 S 2.74
Hf 0.6667 0.3333 0.0940  3 P 2.51, 3 S 2.74
Hf 0.6667 0.3333 0.5727  3 P 2.51, 3 S 2.74
P 0.0000 0.0000 0.5000  6 Hf 2.51
P 0.3333 0.6667 0.1667  6 Hf 2.51
P 0.6667 0.3333 0.8333  6 Hf 2.51
S 0.0000 0.0000 0.0000  6 Hf 2.74
S 0.3333 0.6667 0.6667  6 Hf 2.74
S 0.6667 0.3333 0.3333  6 Hf 2.74


Entry 14:
Material: SrMnGe2Ir
Method: DFT, PBE
State: relaxed

Properties
Formation energy in eV per atom: -0.4950
Final energy in eV for the cell shown: -62.84
M_tot in μB/f.u.: 2.6
ρ in g cm⁻³: 8.309

a b c (Å): 4.1491 4.1491 11.1455
angles (deg): 90.00 90.00 90.00
Last column: nearest neighbours and their distance in Å.
Atoms (fractional coordinates):
Sr 0.0000 0.0000 0.0000  8 Ge 3.26, 4 Mn 3.47, 4 Ir 3.47
Sr 0.5000 0.5000 0.5000  8 Ge 3.26, 4 Mn 3.47, 4 Ir 3.47
Mn 0.0000 0.5000 0.2500  4 Ge 2.49
Mn 0.5000 0.0000 0.7500  4 Ge 2.49
Ge 0.0000 0.0000 0.3733  2 Mn 2.49, 2 Ir 2.49
Ge 0.0000 0.0000 0.6267  2 Mn 2.49, 2 Ir 2.49
Ge 0.5000 0.5000 0.1267  2 Mn 2.49, 2 Ir 2.49
Ge 0.5000 0.5000 0.8733  2 Mn 2.49, 2 Ir 2.49
Ir 0.0000 0.5000 0.7500  4 Ge 2.49
Ir 0.5000 0.0000 0.2500  4 Ge 2.49


Entry 15:
Material: KRbCeI6
Method: DFT, PBE
State: relaxed

Properties
Final energy in eV for the cell shown: -58.13
M_tot in μB/f.u.: 0.0
ρ in g cm⁻³: 3.476
Formation energy without anion corrections in meV per atom: -1307

a b c (Å): 8.7448 8.7448 14.8016
angles (deg): 90.00 90.00 120.00
Last column: nearest neighbours and their distance in Å.
Atoms (fractional coordinates):
K 0.3333 0.6667 0.2500  6 I 3.58
K 0.6667 0.3333 0.7500  6 I 3.58
Rb 0.0000 0.0000 0.0000  6 I 3.74
Rb 0.0000 0.0000 0.5000  6 I 3.74
Ce 0.3333 0.6667 0.7500  6 I 3.04
Ce 0.6667 0.3333 0.2500  6 I 3.04
I 0.0462 0.3876 0.6306  1 Ce 3.04
I 0.0462 0.6586 0.8694  1 Ce 3.04
I 0.3414 0.3876 0.8694  1 Ce 3.04
I 0.3414 0.9538 0.6306  1 Ce 3.04
I 0.3876 0.0462 0.1306  1 Ce 3.04
I 0.3876 0.3414 0.3694  1 Ce 3.04
I 0.6124 0.6586 0.6306  1 Ce 3.04
I 0.6124 0.9538 0.8694  1 Ce 3.04
I 0.6586 0.0462 0.3694  1 Ce 3.04
I 0.6586 0.6124 0.1306  1 Ce 3.04
I 0.9538 0.3414 0.1306  1 Ce 3.04
I 0.9538 0.6124 0.3694  1 Ce 3.04


Entry 16:
Material: ZnGeRh
Method: DFT, PBE
State: relaxed

Properties
Formation energy in eV per atom: -0.1531
Final energy in eV for the cell shown: -54.81
M_tot in μB/f.u.: 0.0
ρ in g cm⁻³: 7.378

a b c (Å): 7.2805 7.2772 6.0759
angles (deg): 65.36 65.30 49.34
Last column: nearest neighbours and their distance in Å.
Atoms (fractional coordinates):
Zn 0.0000 0.0000 0.0000  2 Rh 2.55, 2 Ge 2.82
Zn 0.0000 0.0000 0.5000  2 Rh 2.55, 2 Ge 2.82
Zn 0.0000 0.5000 0.0000  2 Rh 2.55, 2 Ge 2.82
Zn 0.5000 0.0000 0.0000  2 Rh 2.55, 2 Ge 2.82
Ge 0.2026 0.2026 0.5474  4 Rh 2.44-2.48
Ge 0.4526 0.4526 0.7974  4 Rh 2.44-2.48
Ge 0.5474 0.5474 0.2026  4 Rh 2.44-2.48
Ge 0.7974 0.7974 0.4526  4 Rh 2.44-2.48
Rh 0.2082 0.5418 0.5418  4 Ge 2.44-2.48, 2 Zn 2.55
Rh 0.4582 0.7918 0.7918  4 Ge 2.44-2.48, 2 Zn 2.55
Rh 0.5418 0.2082 0.2082  4 Ge 2.44-2.48, 2 Zn 2.55
Rh 0.7918 0.4582 0.4582  4 Ge 2.44-2.48, 2 Zn 2.55


Entry 17:
Material: TlFe2Os
Method: DFT, PBE
State: relaxed

Properties
Formation energy in eV per atom: 0.6570
Final energy in eV for the cell shown: -55.79
M_tot in μB/f.u.: 4.8
ρ in g cm⁻³: 13.543

a b c (Å): 8.8565 2.9362 4.8630
angles (deg): 90.00 100.95 90.00
Last column: nearest neighbours and their distance in Å.
Atoms (fractional coordinates):
Tl 0.0000 0.0000 0.0000  6 Fe 2.83-2.89, 4 Os 2.84, 2 Tl 2.94
Tl 0.5000 0.5000 0.0000  6 Fe 2.83-2.89, 4 Os 2.84, 2 Tl 2.94
Fe 0.2406 0.0000 0.6924  2 Fe 2.41, 3 Os 2.61-2.64
Fe 0.2594 0.5000 0.3076  2 Fe 2.41, 3 Os 2.61-2.64
Fe 0.7406 0.5000 0.6924  2 Fe 2.41, 3 Os 2.61-2.64
Fe 0.7594 0.0000 0.3076  2 Fe 2.41, 3 Os 2.61-2.64
Os 0.0000 0.5000 0.5000  6 Fe 2.61-2.64, 4 Tl 2.84
Os 0.5000 0.0000 0.5000  6 Fe 2.61-2.64, 4 Tl 2.84


Entry 18:
Material: Ni2Pd3Au
Method: DFT, PBE
State: relaxed

Properties
Formation energy in eV per atom: 0.0122
Final energy in eV for the cell shown: -30.35
M_tot in μB/f.u.: 2.2
ρ in g cm⁻³: 12.122

a b c (Å): 2.7870 2.7870 11.1746
angles (deg): 90.00 90.00 90.00
Last column: nearest neighbours and their distance in Å.
Atoms (fractional coordinates):
Ni 0.0000 0.0000 0.1551  8 Pd 2.62, 4 Ni 2.79
Ni 0.0000 0.0000 0.8449  8 Pd 2.62, 4 Ni 2.79
Pd 0.5000 0.5000 0.0000  8 Ni 2.62, 4 Pd 2.79
Pd 0.5000 0.5000 0.3090  4 Ni 2.62, 4 Pd 2.79, 4 Au 2.91
Pd 0.5000 0.5000 0.6910  4 Ni 2.62, 4 Pd 2.79, 4 Au 2.91
Au 0.0000 0.0000 0.5000  4 Au 2.79, 8 Pd 2.91